No. 1
The following is a GGA-PBE calculation of a relaxed Zn2TcGe2 crystal, from Alexandria.

Structure (CIF):
```
data_Zn2TcGe2
_chemical_formula_sum 'Zn4 Tc2 Ge4'
_cell_length_a 6.605
_cell_length_b 6.605
_cell_length_c 3.666
_cell_angle_alpha 90.00
_cell_angle_beta 90.00
_cell_angle_gamma 90.00
_space_group_name_H-M_alt 'P 4/m b m'
_space_group_IT_number 127
_space_group_name_Hall '-P 4 2ab'
loop_
_atom_site_label
_atom_site_type_symbol
_atom_site_fract_x
_atom_site_fract_y
_atom_site_fract_z
Zn1 Zn 0.164 0.336 0.000
Tc1 Tc 0.000 0.000 0.500
Ge1 Ge 0.141 0.641 0.500
```

Properties
The value obtained for the total energy is -4.238 eV/atom. Its density of states at the Fermi level is 5.9 states/eV per cell. The formation energy is 0.959 eV/f.u.

---

No. 2
The following is a GGA-PBE calculation of a relaxed Nd3Al2In4 crystal, from Alexandria.

Structure (CIF):
```
data_Nd3Al2In4
_chemical_formula_sum 'Nd6 Al4 In8'
_cell_length_a 11.318
_cell_length_b 4.851
_cell_length_c 9.180
_cell_angle_alpha 90.00
_cell_angle_beta 113.90
_cell_angle_gamma 90.00
_space_group_name_H-M_alt 'C 1 2/m 1'
_space_group_IT_number 12
loop_
_space_group_symop_operation_xyz
'x,y,z'
'-x,-y,-z'
'-x,y,-z'
'x,-y,z'
'x+1/2,y+1/2,z'
'-x+1/2,-y+1/2,-z'
'-x+1/2,y+1/2,-z'
'x+1/2,-y+1/2,z'
loop_
_atom_site_label
_atom_site_type_symbol
_atom_site_fract_x
_atom_site_fract_y
_atom_site_fract_z
Nd1 Nd 0.000 0.000 0.000
Nd2 Nd 0.166 0.500 0.667
Al1 Al 0.106 0.500 0.277
In1 In 0.067 0.000 0.396
In2 In 0.205 0.500 0.047
```

Properties
The value obtained for the total energy is -4.093 eV/atom. Its density of states at the Fermi level is 9.5 states/eV per cell. The formation energy is -4.098 eV/f.u.

---

No. 3
The following is a GGA-PBE calculation of a relaxed AcZnNi crystal, from Alexandria.

Structure (CIF):
```
data_AcZnNi
_chemical_formula_sum 'Ac2 Zn2 Ni2'
_cell_length_a 4.082
_cell_length_b 4.082
_cell_length_c 8.115
_cell_angle_alpha 90.00
_cell_angle_beta 90.00
_cell_angle_gamma 90.00
_space_group_name_H-M_alt 'P 4/n m m'
_space_group_IT_number 129
loop_
_space_group_symop_operation_xyz
'x,y,z'
'-x,-y,-z'
'-y+1/2,x,z'
'y+1/2,-x,-z'
'-x+1/2,-y+1/2,z'
'x+1/2,y+1/2,-z'
'y,-x+1/2,z'
'-y,x+1/2,-z'
'x+1/2,-y,-z'
'-x+1/2,y,z'
'-y,-x,-z'
'y,x,z'
'-x,y+1/2,-z'
'x,-y+1/2,z'
'y+1/2,x+1/2,-z'
'-y+1/2,-x+1/2,z'
loop_
_atom_site_label
_atom_site_type_symbol
_atom_site_fract_x
_atom_site_fract_y
_atom_site_fract_z
Ac1 Ac 0.250 0.250 0.182
Zn1 Zn 0.250 0.750 0.500
Ni1 Ni 0.250 0.250 0.695
```

Properties
The value obtained for the total energy is -3.991 eV/atom. Its density of states at the Fermi level is 3.4 states/eV per cell. The offset from the most stable computed form is 45 meV per atom. The formation energy is -0.809 eV/f.u.

---

No. 4
The following is a GGA-PBE calculation of a relaxed Cu2MoPb crystal, from Alexandria.

Structure (CIF):
```
data_Cu2MoPb
_chemical_formula_sum 'Cu4 Mo2 Pb2'
_cell_length_a 3.913
_cell_length_b 3.913
_cell_length_c 8.514
_cell_angle_alpha 90.00
_cell_angle_beta 90.00
_cell_angle_gamma 90.00
_space_group_name_H-M_alt 'I -4 m 2'
_space_group_IT_number 119
_space_group_name_Hall 'I -4 -2'
loop_
_atom_site_label
_atom_site_type_symbol
_atom_site_fract_x
_atom_site_fract_y
_atom_site_fract_z
Cu1 Cu 0.000 0.000 0.000
Cu2 Cu 0.000 0.500 0.250
Mo1 Mo 0.000 0.500 0.750
Pb1 Pb 0.000 0.000 0.500
```

Properties
The value obtained for the total energy is -5.093 eV/atom. Its density of states at the Fermi level is 8.2 states/eV per cell. The formation energy is 2.359 eV/f.u.

---

No. 5
The following is a GGA-PBE calculation of a relaxed Ac3Al2Si2Ni4 crystal, from Alexandria.

Structure (CIF):
```
data_Ac3Al2Si2Ni4
_chemical_formula_sum 'Ac3 Al2 Si2 Ni4'
_cell_length_a 4.1089
_cell_length_b 4.1089
_cell_length_c 16.1375
_cell_angle_alpha 90.00
_cell_angle_beta 90.00
_cell_angle_gamma 120.00
_space_group_name_H-M_alt 'P -3 m 1'
_space_group_IT_number 164
_space_group_name_Hall '-P 3 2"'
loop_
_atom_site_label
_atom_site_type_symbol
_atom_site_fract_x
_atom_site_fract_y
_atom_site_fract_z
Ac1 Ac 0.0000 0.0000 0.0000
Ac2 Ac 0.0000 0.0000 0.2797
Al1 Al 0.3333 0.6667 0.5539
Si1 Si 0.3333 0.6667 0.1394
Ni1 Ni 0.3333 0.6667 0.4052
Ni2 Ni 0.3333 0.6667 0.8561
```

Properties
The calculation puts the formation energy from raw total energies at -44.7 kJ per mole of atoms. The value obtained for the total energy is -5.352 eV/atom. Its density of states at the Fermi level is 7.6 states/eV per cell.

---

No. 6
The following is a GGA-PBE calculation of a relaxed Tm12Ni6Sn crystal, from Alexandria.

Structure (CIF):
```
data_Tm12Ni6Sn
_chemical_formula_sum 'Tm24 Ni12 Sn2'
_cell_length_a 9.561
_cell_length_b 9.561
_cell_length_c 9.561
_cell_angle_alpha 90.00
_cell_angle_beta 90.00
_cell_angle_gamma 90.00
_space_group_name_H-M_alt 'I m -3'
_space_group_IT_number 204
_space_group_name_Hall '-I 2 2 3'
loop_
_atom_site_label
_atom_site_type_symbol
_atom_site_fract_x
_atom_site_fract_y
_atom_site_fract_z
Tm1 Tm 0.000 0.188 0.303
Ni1 Ni 0.000 0.376 0.500
Sn1 Sn 0.000 0.000 0.000
```

Properties
The value obtained for the total energy is -5.294 eV/atom. Its density of states at the Fermi level is 45.8 states/eV per cell. The formation energy is -8.229 eV/f.u.

---

No. 7
The following is a GGA-PBE calculation of a relaxed CrCdAu6 crystal, from Alexandria.

Structure (CIF):
```
data_CrCdAu6
_chemical_formula_sum 'Cr1 Cd1 Au6'
_cell_length_a 4.149
_cell_length_b 4.149
_cell_length_c 8.393
_cell_angle_alpha 90.00
_cell_angle_beta 90.00
_cell_angle_gamma 90.00
_space_group_name_H-M_alt 'P 4/m m m'
_space_group_IT_number 123
_space_group_name_Hall '-P 4 2'
loop_
_atom_site_label
_atom_site_type_symbol
_atom_site_fract_x
_atom_site_fract_y
_atom_site_fract_z
Cr1 Cr 0.000 0.000 0.000
Cd1 Cd 0.000 0.000 0.500
Au1 Au 0.000 0.500 0.242
Au2 Au 0.500 0.500 0.000
Au3 Au 0.500 0.500 0.500
```

Properties
The value obtained for the total energy is -3.808 eV/atom. Its density of states at the Fermi level is 3.4 states/eV per cell. The formation energy is -0.258 eV/f.u.

---

No. 8
The following is a GGA-PBE calculation of a relaxed Nd2Zn2PdPt5 crystal, from Alexandria.

Structure (CIF):
```
data_Nd2Zn2PdPt5
_chemical_formula_sum 'Nd4 Zn4 Pd2 Pt10'
_cell_length_a 9.608
_cell_length_b 9.608
_cell_length_c 3.921
_cell_angle_alpha 90.00
_cell_angle_beta 90.00
_cell_angle_gamma 90.00
_space_group_name_H-M_alt 'P 4/m b m'
_space_group_IT_number 127
_space_group_name_Hall '-P 4 2ab'
loop_
_atom_site_label
_atom_site_type_symbol
_atom_site_fract_x
_atom_site_fract_y
_atom_site_fract_z
Nd1 Nd 0.180 0.320 0.000
Zn1 Zn 0.118 0.618 0.000
Pd1 Pd 0.000 0.000 0.000
Pt1 Pt 0.000 0.500 0.500
Pt2 Pt 0.063 0.795 0.500
```

Properties
The value obtained for the total energy is -5.487 eV/atom. Its density of states at the Fermi level is 7.6 states/eV per cell. The formation energy is -7.389 eV/f.u.

---

No. 9
The following is a GGA-PBE calculation of a relaxed Ba2Si7Ir12 crystal, from Alexandria.

Structure (CIF):
```
data_Ba2Si7Ir12
_chemical_formula_sum 'Ba2 Si7 Ir12'
_cell_length_a 9.9257
_cell_length_b 9.9257
_cell_length_c 3.9394
_cell_angle_alpha 90.00
_cell_angle_beta 90.00
_cell_angle_gamma 120.00
_space_group_name_H-M_alt 'P -6'
_space_group_IT_number 174
loop_
_space_group_symop_operation_xyz
'x,y,z'
'-x+y,-x,-z'
'-y,x-y,z'
'x,y,-z'
'-x+y,-x,z'
'-y,x-y,-z'
loop_
_atom_site_label
_atom_site_type_symbol
_atom_site_fract_x
_atom_site_fract_y
_atom_site_fract_z
Ba1 Ba 0.0000 0.0000 0.0000
Ba2 Ba 0.3333 0.6667 0.5000
Si1 Si 0.0663 0.4424 0.0000
Si2 Si 0.2720 0.2305 0.5000
Si3 Si 0.6667 0.3333 0.0000
Ir1 Ir 0.0507 0.2822 0.5000
Ir2 Ir 0.1016 0.7096 0.0000
Ir3 Ir 0.3995 0.1837 0.0000
Ir4 Ir 0.5374 0.4374 0.5000
```

Properties
The calculation puts the formation energy from raw total energies at -54.8 kJ per mole of atoms. The value obtained for the total energy is -7.622 eV/atom. Its density of states at the Fermi level is 8.0 states/eV per cell.

---

No. 10
The following is a GGA-PBE calculation of a relaxed H4AuBr3N crystal, from Alexandria.

Structure (CIF):
```
data_H4AuBr3N
_chemical_formula_sum 'H8 Au2 Br6 N2'
_cell_length_a 5.400
_cell_length_b 7.139
_cell_length_c 9.757
_cell_angle_alpha 90.00
_cell_angle_beta 105.15
_cell_angle_gamma 90.00
_space_group_name_H-M_alt 'P 1 21 1'
_space_group_IT_number 4
loop_
_space_group_symop_operation_xyz
'x,y,z'
'-x,y+1/2,-z'
loop_
_atom_site_label
_atom_site_type_symbol
_atom_site_fract_x
_atom_site_fract_y
_atom_site_fract_z
H1 H 0.061 0.000 0.294
H2 H 0.122 0.695 0.760
H3 H 0.173 0.496 0.859
H4 H 0.252 0.501 0.703
Au1 Au 0.383 0.563 0.252
Br1 Br 0.110 0.043 0.733
Br2 Br 0.300 0.305 0.077
Br3 Br 0.458 0.842 0.410
N1 N 0.121 0.549 0.757
```

Properties
The value obtained for the total energy is -3.777 eV/atom. Its density of states at the Fermi level is 4.9 states/eV per cell. The offset from the most stable computed form is 0 meV per atom.

---

No. 11
The following is a GGA-PBE calculation of a relaxed SrCuHg crystal, from Alexandria.

Structure (CIF):
```
data_SrCuHg
_chemical_formula_sum 'Sr2 Cu2 Hg2'
_cell_length_a 3.756
_cell_length_b 3.756
_cell_length_c 10.596
_cell_angle_alpha 90.00
_cell_angle_beta 90.00
_cell_angle_gamma 90.00
_space_group_name_H-M_alt 'I 4 m m'
_space_group_IT_number 107
_space_group_name_Hall 'I 4 -2'
loop_
_atom_site_label
_atom_site_type_symbol
_atom_site_fract_x
_atom_site_fract_y
_atom_site_fract_z
Sr1 Sr 0.000 0.000 0.000
Cu1 Cu 0.000 0.000 0.307
Hg1 Hg 0.000 0.000 0.697
```

Properties
The value obtained for the total energy is -2.165 eV/atom. Its density of states at the Fermi level is 3.3 states/eV per cell. The formation energy is -0.417 eV/f.u.

---

No. 12
The following is a GGA-PBE calculation of a relaxed SbSe2SN2F6 crystal, from Alexandria.

Structure (CIF):
```
data_SbSe2SN2F6
_chemical_formula_sum 'Sb8 Se16 S8 N16 F48'
_cell_length_a 10.211
_cell_length_b 16.952
_cell_length_c 13.823
_cell_angle_alpha 90.00
_cell_angle_beta 128.95
_cell_angle_gamma 90.00
_space_group_name_H-M_alt 'P 1 21/c 1'
_space_group_IT_number 14
loop_
_space_group_symop_operation_xyz
'x,y,z'
'-x,-y,-z'
'-x,y+1/2,-z+1/2'
'x,-y+1/2,z+1/2'
loop_
_atom_site_label
_atom_site_type_symbol
_atom_site_fract_x
_atom_site_fract_y
_atom_site_fract_z
Sb1 Sb 0.073 0.060 0.305
Sb2 Sb 0.394 0.152 0.135
Se1 Se 0.156 0.695 0.038
Se2 Se 0.218 0.623 0.603
Se3 Se 0.327 0.704 0.971
Se4 Se 0.383 0.615 0.532
S1 S 0.035 0.190 0.731
S2 S 0.420 0.107 0.699
N1 N 0.036 0.187 0.618
N2 N 0.147 0.696 0.809
N3 N 0.400 0.615 0.763
N4 N 0.423 0.106 0.813
F1 F 0.046 0.134 0.397
F2 F 0.057 0.632 0.338
F3 F 0.090 0.510 0.705
F4 F 0.134 0.511 0.256
F5 F 0.168 0.141 0.075
F6 F 0.197 0.511 0.943
F7 F 0.274 0.114 0.360
F8 F 0.332 0.244 0.035
F9 F 0.350 0.087 0.003
F10 F 0.378 0.667 0.305
F11 F 0.457 0.217 0.274
F12 F 0.465 0.061 0.239
```

Properties
The calculation puts the formation energy from raw total energies at -117.3 kJ per mole of atoms. The value obtained for the total energy is -4.807 eV/atom.

---

Q: Which formula does entry 2 have?
A: Nd3Al2In4